# GGA-PBE Er3AgTe6, optimized geometry
data_Er3AgTe6
_chemical_formula_sum 'Er12 Ag4 Te24'
_symmetry_space_group_name_H-M 'C m c 21'
_symmetry_Int_Tables_number 36
_cell_length_a 12.231
_cell_length_b 13.552
_cell_length_c 7.575
_cell_angle_alpha 90.00
_cell_angle_beta 90.00
_cell_angle_gamma 90.00
loop_
_symmetry_equiv_pos_as_xyz
'x,y,z'
'-x,-y,z+1/2'
'-x,y,z'
'x,-y,z+1/2'
'x+1/2,y+1/2,z'
'-x+1/2,-y+1/2,z+1/2'
'-x+1/2,y+1/2,z'
'x+1/2,-y+1/2,z+1/2'
loop_
_atom_site_label
_atom_site_type_symbol
_atom_site_fract_x
_atom_site_fract_y
_atom_site_fract_z
Er1 Er 0.000 0.100 0.000
Er2 Er 0.173 0.404 0.904
Ag1 Ag 0.000 0.270 0.362
Te1 Te 0.000 0.272 0.729
Te2 Te 0.000 0.462 0.200
Te3 Te 0.165 0.040 0.700
Te4 Te 0.184 0.223 0.167
# * magnetic moment: 0.000 μB/f.u.


# GGA-PBE ErAg5Te4, optimized geometry
data_ErAg5Te4
_chemical_formula_sum 'Er2 Ag10 Te8'
_symmetry_space_group_name_H-M 'I m m m'
_symmetry_Int_Tables_number 71
_symmetry_space_group_name_Hall '-I 2 2'
_cell_length_a 4.479
_cell_length_b 8.355
_cell_length_c 15.110
_cell_angle_alpha 90.00
_cell_angle_beta 90.00
_cell_angle_gamma 90.00
loop_
_atom_site_label
_atom_site_type_symbol
_atom_site_fract_x
_atom_site_fract_y
_atom_site_fract_z
Er1 Er 0.000 0.000 0.000
Ag1 Ag 0.000 0.279 0.313
Ag2 Ag 0.000 0.500 0.000
Te1 Te 0.000 0.000 0.206
Te2 Te 0.000 0.236 0.500
# * magnetic moment: 0.000 μB/f.u.


# GGA-PBE Er3TiAg3Te8, optimized geometry
data_Er3TiAg3Te8
_chemical_formula_sum 'Er6 Ti2 Ag6 Te16'
_symmetry_space_group_name_H-M 'C 1 2/m 1'
_symmetry_Int_Tables_number 12
_cell_length_a 14.792
_cell_length_b 8.540
_cell_length_c 8.716
_cell_angle_alpha 90.00
_cell_angle_beta 124.60
_cell_angle_gamma 90.00
loop_
_symmetry_equiv_pos_as_xyz
'x,y,z'
'-x,-y,-z'
'-x,y,-z'
'x,-y,z'
'x+1/2,y+1/2,z'
'-x+1/2,-y+1/2,-z'
'-x+1/2,y+1/2,-z'
'x+1/2,-y+1/2,z'
loop_
_atom_site_label
_atom_site_type_symbol
_atom_site_fract_x
_atom_site_fract_y
_atom_site_fract_z
Er1 Er 0.000 0.000 0.000
Er2 Er 0.250 0.250 0.000
Ti1 Ti 0.000 0.500 0.000
Ag1 Ag 0.000 0.500 0.500
Ag2 Ag 0.250 0.250 0.500
Te1 Te 0.001 0.267 0.235
Te2 Te 0.234 0.500 0.235
Te3 Te 0.248 0.500 0.745
# * magnetic moment: 0.088 μB/f.u.


The following energy relative to the elements, uncorrected values (in meV per atom) correspond, in order, to the records above: -940; -327; -757.